An optimized crystal structure of Ho2Ga4Ir3Au, computed with PBE-GGA.

Unit cell a=4.075 b=4.075 c=11.140 alpha=90.00 beta=90.00 gamma=90.00
Element x y z (fractional)
Ho 0.000 0.500 0.239
Ho 0.500 0.000 0.761
Ga 0.000 0.000 0.000
Ga 0.000 0.500 0.639
Ga 0.500 0.000 0.361
Ga 0.500 0.500 0.000
Ir 0.000 0.500 0.861
Ir 0.500 0.000 0.139
Ir 0.500 0.500 0.500
Au 0.000 0.000 0.500

Calculated values
**ΔH_f (0 K)**: -0.65 eV/atom
**Magnetization**: 0.00 μB/f.u.
**Theoretical density**: 12409 kg/m³
**VASP energy**: -5.76 eV/atom

=====

An optimized crystal structure of BaRe2Mo, computed with PBE-GGA.

Unit cell a=2.926 b=4.179 c=7.360 alpha=90.00 beta=99.68 gamma=90.00
Element x y z (fractional)
Ba 0.000 0.000 0.000
Re 0.215 0.500 0.658
Re 0.785 0.500 0.342
Mo 0.500 0.000 0.500

Calculated values
**ΔH_f (0 K)**: 0.87 eV/atom
**Magnetization**: 0.00 μB/f.u.
**Theoretical density**: 11338 kg/m³
**Energy relative to the lowest polymorph listed for this composition**: 104 meV per atom
**VASP energy**: -8.54 eV/atom

=====

An optimized crystal structure of Pm3PrAs3, computed with PBE-GGA.

Unit cell a=9.012 b=9.012 c=9.012 alpha=90.00 beta=90.00 gamma=90.00
Element x y z (fractional)
Pm 0.067 0.433 0.567
Pm 0.184 0.184 0.184
Pm 0.185 0.815 0.315
Pm 0.315 0.185 0.815
Pm 0.316 0.816 0.684
Pm 0.433 0.567 0.067
Pm 0.567 0.067 0.433
Pm 0.684 0.316 0.816
Pm 0.685 0.685 0.685
Pm 0.815 0.315 0.185
Pm 0.816 0.684 0.316
Pm 0.933 0.933 0.933
Pr 0.066 0.566 0.934
Pr 0.434 0.434 0.434
Pr 0.566 0.934 0.066
Pr 0.934 0.066 0.566
As 0.001 0.748 0.623
As 0.123 0.499 0.252
As 0.248 0.877 0.999
As 0.252 0.123 0.499
As 0.377 0.501 0.752
As 0.499 0.252 0.123
As 0.501 0.752 0.377
As 0.623 0.001 0.748
As 0.748 0.623 0.001
As 0.752 0.377 0.501
As 0.877 0.999 0.248
As 0.999 0.248 0.877

Calculated values
**ΔH_f (0 K)**: -1.27 eV/atom
**Magnetization**: 0.00 μB/f.u.
**Theoretical density**: 7266 kg/m³
**VASP energy**: -5.98 eV/atom

=====

Copy entry 3 word for word.
An optimized crystal structure of Pm3PrAs3, computed with PBE-GGA.

Unit cell a=9.012 b=9.012 c=9.012 alpha=90.00 beta=90.00 gamma=90.00
Element x y z (fractional)
Pm 0.067 0.433 0.567
Pm 0.184 0.184 0.184
Pm 0.185 0.815 0.315
Pm 0.315 0.185 0.815
Pm 0.316 0.816 0.684
Pm 0.433 0.567 0.067
Pm 0.567 0.067 0.433
Pm 0.684 0.316 0.816
Pm 0.685 0.685 0.685
Pm 0.815 0.315 0.185
Pm 0.816 0.684 0.316
Pm 0.933 0.933 0.933
Pr 0.066 0.566 0.934
Pr 0.434 0.434 0.434
Pr 0.566 0.934 0.066
Pr 0.934 0.066 0.566
As 0.001 0.748 0.623
As 0.123 0.499 0.252
As 0.248 0.877 0.999
As 0.252 0.123 0.499
As 0.377 0.501 0.752
As 0.499 0.252 0.123
As 0.501 0.752 0.377
As 0.623 0.001 0.748
As 0.748 0.623 0.001
As 0.752 0.377 0.501
As 0.877 0.999 0.248
As 0.999 0.248 0.877

Calculated values
**ΔH_f (0 K)**: -1.27 eV/atom
**Magnetization**: 0.00 μB/f.u.
**Theoretical density**: 7266 kg/m³
**VASP energy**: -5.98 eV/atom